Record 1
VASP calculation (PBE) on crystalline KWCl2 at its relaxed geometry.

a = 6.101 Å, b = 6.101 Å, c = 6.101 Å
α = 143.72°, β = 116.66°, γ = 75.24°
Atoms (fractional coordinates):
K: 0.000 0.000 0.000
W: 0.500 0.500 0.000
Cl: 0.335 0.835 0.500
Cl: 0.665 0.165 0.500

Output
For the uncorrected formation energy, the calculation gives -15 meV per atom. The size of the total moment is 3.01 μB per formula unit. The space group is No. 71.

---

Record 2
VASP calculation (PBE) on crystalline ReRuRh3 at its relaxed geometry.

a = 4.612 Å, b = 4.612 Å, c = 4.612 Å
α = 90.00°, β = 90.00°, γ = 90.00°
Atoms (fractional coordinates):
Re: 0.000 0.000 0.000
Ru: 0.500 0.500 0.500
Rh: 0.000 0.500 0.500
Rh: 0.500 0.000 0.500
Rh: 0.500 0.500 0.000

Output
The value obtained for the formation energy is 1.9483 eV per atom. The size of the total moment is 4.09 μB per formula unit. The space group is No. 221.

---

Record 3
VASP calculation (PBE) on crystalline La5Ga2Ge5 at its relaxed geometry.

a = 8.023 Å, b = 8.023 Å, c = 11.832 Å
α = 126.74°, β = 126.74°, γ = 30.99°
Atoms (fractional coordinates):
La: 0.000 0.000 0.000
La: 0.317 0.317 0.421
La: 0.371 0.371 0.176
La: 0.629 0.629 0.824
La: 0.683 0.683 0.579
Ga: 0.382 0.382 0.739
Ga: 0.618 0.618 0.261
Ge: 0.000 0.000 0.500
Ge: 0.064 0.064 0.322
Ge: 0.298 0.298 0.866
Ge: 0.702 0.702 0.134
Ge: 0.936 0.936 0.678

Output
The value obtained for the formation energy is -0.7615 eV per atom. The size of the total moment is 0.00 μB per formula unit. The space group is No. 12.